A geometry-optimized BiSbP structure. Source: the Alexandria database, functional PBE.

Properties
**Relative energy among the computed polymorphs**: 6.1 meV per atom
**Magnetization**: 0.00 μB per cell
**DOS(E_F)**: 0.3 states/eV/f.u.
**Space group**: No. 12
**Formation energy from raw total energies**: 0.093 eV per atom

abc: 14.2527 4.1940 6.3429
angles: 90.00 110.73 90.00
Positions (direct):
Bi1 0.1398 0.0000 0.3982
Bi2 0.3602 0.5000 0.6018
Bi3 0.6398 0.5000 0.3982
Bi4 0.8602 0.0000 0.6018
Sb1 0.1733 0.0000 0.9395
Sb2 0.3267 0.5000 0.0605
Sb3 0.6733 0.5000 0.9395
Sb4 0.8267 0.0000 0.0605
P1 0.0057 0.5000 0.3316
P2 0.4943 0.0000 0.6684
P3 0.5057 0.0000 0.3316
P4 0.9943 0.5000 0.6684